Here is a relaxed Ag5Sb crystal from Alexandria. Energies are from PBE.

As for the uncorrected formation energy: 1.11 eV/f.u. For the energy above the most stable polymorph in this dataset, the calculation gives 154 meV per atom.

Unit cell a=5.508 b=5.508 c=4.781 alpha=90.00 beta=90.00 gamma=120.00
Fractional coordinates of all 6 atoms:
1 Ag 0.000 0.500 0.000
2 Ag 0.333 0.667 0.500
3 Ag 0.500 0.000 0.000
4 Ag 0.500 0.500 0.000
5 Ag 0.667 0.333 0.500
6 Sb 0.000 0.000 0.500


Here is a relaxed Ca5LaMg6 crystal from Alexandria. Energies are from PBE.

For the total energy, the calculation gives -2.130 eV/atom.

Unit cell a=9.736 b=9.736 c=5.648 alpha=106.62 beta=106.62 gamma=47.37
Fractional coordinates of all 12 atoms:
1 Ca 0.000 0.000 0.000
2 Ca 0.166 0.166 0.666
3 Ca 0.334 0.334 0.334
4 Ca 0.666 0.666 0.666
5 Ca 0.834 0.834 0.334
6 La 0.500 0.500 0.000
7 Mg 0.086 0.580 0.833
8 Mg 0.252 0.748 0.500
9 Mg 0.420 0.914 0.167
10 Mg 0.580 0.086 0.833
11 Mg 0.748 0.252 0.500
12 Mg 0.914 0.420 0.167


Here is a relaxed TaHgOs2 crystal from Alexandria. Energies are from PBE.

For the total energy, the calculation gives -8.305 eV/atom.

Unit cell a=9.180 b=9.180 c=9.180 alpha=18.78 beta=18.78 gamma=18.78
Fractional coordinates of all 4 atoms:
1 Ta 0.000 0.000 0.000
2 Hg 0.500 0.500 0.500
3 Os 0.260 0.260 0.260
4 Os 0.740 0.740 0.740


Here is a relaxed InGa2TePt crystal from Alexandria. Energies are from PBE.

As for the uncorrected formation energy: -1.61 eV/f.u.

Unit cell a=4.881 b=4.881 c=5.348 alpha=90.00 beta=90.00 gamma=90.00
Fractional coordinates of all 5 atoms:
1 In 0.000 0.000 0.000
2 Ga 0.000 0.500 0.500
3 Ga 0.500 0.000 0.500
4 Te 0.500 0.500 0.000
5 Pt 0.000 0.000 0.500


Here is a relaxed Re4P crystal from Alexandria. Energies are from PBE.

For the energy above the most stable polymorph in this dataset, the calculation gives 0 meV per atom.

Unit cell a=4.752 b=4.752 c=4.752 alpha=109.47 beta=109.47 gamma=109.47
Fractional coordinates of all 5 atoms:
1 Re 0.000 0.000 0.500
2 Re 0.000 0.500 0.000
3 Re 0.500 0.000 0.000
4 Re 0.500 0.500 0.500
5 P 0.000 0.000 0.000


Here is a relaxed Pm3SmSb3 crystal from Alexandria. Energies are from PBE.

As for the uncorrected formation energy: -7.40 eV/f.u. For the energy above the most stable polymorph in this dataset, the calculation gives 0 meV per atom.

Unit cell a=9.433 b=9.433 c=9.433 alpha=90.00 beta=90.00 gamma=90.00
Fractional coordinates of all 28 atoms:
1 Pm 0.070 0.430 0.570
2 Pm 0.179 0.179 0.179
3 Pm 0.179 0.821 0.321
4 Pm 0.321 0.179 0.821
5 Pm 0.321 0.821 0.679
6 Pm 0.430 0.570 0.070
7 Pm 0.570 0.070 0.430
8 Pm 0.679 0.321 0.821
9 Pm 0.679 0.679 0.679
10 Pm 0.821 0.321 0.179
11 Pm 0.821 0.679 0.321
12 Pm 0.930 0.930 0.930
13 Sm 0.071 0.571 0.929
14 Sm 0.429 0.429 0.429
15 Sm 0.571 0.929 0.071
16 Sm 0.929 0.071 0.571
17 Sb 0.000 0.251 0.875
18 Sb 0.000 0.751 0.625
19 Sb 0.125 0.500 0.249
20 Sb 0.249 0.125 0.500
21 Sb 0.251 0.875 0.000
22 Sb 0.375 0.500 0.749
23 Sb 0.500 0.249 0.125
24 Sb 0.500 0.749 0.375
25 Sb 0.625 0.000 0.751
26 Sb 0.749 0.375 0.500
27 Sb 0.751 0.625 0.000
28 Sb 0.875 0.000 0.251


Here is a relaxed PaAl4Ir2 crystal from Alexandria. Energies are from PBE.

For the total energy, the calculation gives -6.769 eV/atom.

Unit cell a=17.176 b=4.185 c=6.757 alpha=90.00 beta=90.00 gamma=90.00
Fractional coordinates of all 28 atoms:
1 Pa 0.139 0.250 0.039
2 Pa 0.361 0.750 0.539
3 Pa 0.639 0.250 0.461
4 Pa 0.861 0.750 0.961
5 Al 0.035 0.750 0.841
6 Al 0.072 0.250 0.505
7 Al 0.185 0.750 0.354
8 Al 0.193 0.750 0.747
9 Al 0.307 0.250 0.247
10 Al 0.315 0.250 0.854
11 Al 0.428 0.750 0.005
12 Al 0.465 0.250 0.341
13 Al 0.535 0.750 0.659
14 Al 0.572 0.250 0.995
15 Al 0.685 0.750 0.146
16 Al 0.693 0.750 0.753
17 Al 0.807 0.250 0.253
18 Al 0.815 0.250 0.646
19 Al 0.928 0.750 0.495
20 Al 0.965 0.250 0.159
21 Ir 0.042 0.750 0.242
22 Ir 0.222 0.250 0.553
23 Ir 0.278 0.750 0.053
24 Ir 0.458 0.250 0.742
25 Ir 0.542 0.750 0.258
26 Ir 0.722 0.250 0.947
27 Ir 0.778 0.750 0.447
28 Ir 0.958 0.250 0.758


Here is a relaxed Sr4Pb6Cl19 crystal from Alexandria. Energies are from PBE.

As for the uncorrected formation energy: -46.15 eV/f.u.

Unit cell a=10.685 b=10.685 c=10.685 alpha=109.47 beta=109.47 gamma=109.47
Fractional coordinates of all 29 atoms:
1 Sr 0.000 0.000 0.278
2 Sr 0.000 0.278 0.000
3 Sr 0.278 0.000 0.000
4 Sr 0.722 0.722 0.722
5 Pb 0.149 0.500 0.649
6 Pb 0.351 0.851 0.500
7 Pb 0.500 0.351 0.851
8 Pb 0.500 0.649 0.149
9 Pb 0.649 0.149 0.500
10 Pb 0.851 0.500 0.351
11 Cl 0.000 0.000 0.000
12 Cl 0.000 0.286 0.286
13 Cl 0.000 0.714 0.714
14 Cl 0.046 0.796 0.402
15 Cl 0.204 0.250 0.606
16 Cl 0.250 0.606 0.204
17 Cl 0.286 0.000 0.286
18 Cl 0.286 0.286 0.000
19 Cl 0.356 0.750 0.954
20 Cl 0.394 0.644 0.598
21 Cl 0.402 0.046 0.796
22 Cl 0.598 0.394 0.644
23 Cl 0.606 0.204 0.250
24 Cl 0.644 0.598 0.394
25 Cl 0.714 0.000 0.714
26 Cl 0.714 0.714 0.000
27 Cl 0.750 0.954 0.356
28 Cl 0.796 0.402 0.046
29 Cl 0.954 0.356 0.750


Here is a relaxed Sr2MgOs crystal from Alexandria. Energies are from PBE.

For the total energy, the calculation gives -3.641 eV/atom.

Unit cell a=4.580 b=6.220 c=6.220 alpha=43.25 beta=90.00 gamma=90.00
Fractional coordinates of all 4 atoms:
1 Sr 0.000 0.000 0.000
2 Sr 0.500 0.282 0.282
3 Mg 0.000 0.694 0.694
4 Os 0.500 0.583 0.583


Here is a relaxed Cs2TmUSe6 crystal from Alexandria. Energies are from PBE.

As for the uncorrected formation energy: -12.54 eV/f.u.

Unit cell a=7.764 b=7.764 c=7.764 alpha=60.00 beta=60.00 gamma=60.00
Fractional coordinates of all 10 atoms:
1 Cs 0.250 0.250 0.250
2 Cs 0.750 0.750 0.750
3 Tm 0.000 0.000 0.000
4 U 0.500 0.500 0.500
5 Se 0.255 0.255 0.745
6 Se 0.255 0.745 0.255
7 Se 0.255 0.745 0.745
8 Se 0.745 0.255 0.255
9 Se 0.745 0.255 0.745
10 Se 0.745 0.745 0.255


Here is a relaxed Nd3Sm5Er crystal from Alexandria. Energies are from PBE.

For the total energy, the calculation gives -4.226 eV/atom.

Unit cell a=9.665 b=9.665 c=9.946 alpha=120.73 beta=120.73 gamma=74.24
Fractional coordinates of all 18 atoms:
1 Nd 0.000 0.000 0.000
2 Nd 0.006 0.006 0.316
3 Nd 0.484 0.484 0.148
4 Nd 0.500 0.500 0.500
5 Nd 0.516 0.516 0.852
6 Nd 0.994 0.994 0.684
7 Sm 0.094 0.599 0.759
8 Sm 0.226 0.226 0.729
9 Sm 0.247 0.753 0.500
10 Sm 0.275 0.275 0.454
11 Sm 0.401 0.906 0.241
12 Sm 0.599 0.094 0.759
13 Sm 0.725 0.725 0.546
14 Sm 0.753 0.247 0.500
15 Sm 0.774 0.774 0.271
16 Sm 0.906 0.401 0.241
17 Er 0.252 0.252 0.096
18 Er 0.748 0.748 0.904


Here is a relaxed RuW2Br crystal from Alexandria. Energies are from PBE.

As for the uncorrected formation energy: 4.27 eV/f.u. For the energy above the most stable polymorph in this dataset, the calculation gives 577 meV per atom.

Unit cell a=4.482 b=4.482 c=4.482 alpha=60.00 beta=60.00 gamma=60.00
Fractional coordinates of all 4 atoms:
1 Ru 0.000 0.000 0.000
2 W 0.250 0.250 0.250
3 W 0.750 0.750 0.750
4 Br 0.500 0.500 0.500